No. 1
Material: Tl2PW
Method: DFT, PBE
State: relaxed

Output
M_tot, μB/f.u.: 0.0
Formation energy from the elements, eV/atom: 0.363
Excess energy over the best structure of this formula in the dataset, kJ/mol of atoms: 14.23
Mass density, Mg/m³: 10.914
Final energy, eV per cell: -21.64

Lattice parameters (Å, degrees): 8.471 8.471 8.471 159.24 153.84 33.63
Element x y z (fractional)
Tl (0.173, 0.173, 0.000)
Tl (0.827, 0.827, 0.000)
P (0.500, 0.000, 0.500)
W (0.000, 0.500, 0.500)

No. 2
Material: BeSnAs2Ir
Method: DFT, PBE
State: relaxed

Output
M_tot, μB/f.u.: 0.0
Formation energy from the elements, eV/atom: 0.754
Mass density, Mg/m³: 8.572
Final energy, eV per cell: -22.12

Lattice parameters (Å, degrees): 4.341 4.341 4.829 90.00 90.00 90.00
Element x y z (fractional)
Be (0.000, 0.000, 0.000)
Sn (0.000, 0.000, 0.500)
As (0.000, 0.500, 0.000)
As (0.500, 0.000, 0.000)
Ir (0.500, 0.500, 0.500)

No. 3
Material: Tb2InGa2
Method: DFT, PBE
State: relaxed

Output
M_tot, μB/f.u.: 0.0
Formation energy from the elements, eV/atom: -0.631
Mass density, Mg/m³: 8.140
Final energy, eV per cell: -42.42

Lattice parameters (Å, degrees): 7.241 7.241 4.451 90.00 90.00 90.00
Element x y z (fractional)
Tb (0.172, 0.328, 0.000)
Tb (0.328, 0.828, 0.000)
Tb (0.672, 0.172, 0.000)
Tb (0.828, 0.672, 0.000)
In (0.000, 0.000, 0.500)
In (0.500, 0.500, 0.500)
Ga (0.125, 0.625, 0.500)
Ga (0.375, 0.125, 0.500)
Ga (0.625, 0.875, 0.500)
Ga (0.875, 0.375, 0.500)

No. 4
Material: Mg2ReSi
Method: DFT, PBE
State: relaxed

Output
M_tot, μB/f.u.: 0.0
Formation energy from raw total energies, kcal/mol of atoms: 9.52
Mass density, Mg/m³: 6.587
Final energy, eV per cell: -19.41

Lattice parameters (Å, degrees): 4.887 4.887 2.775 90.00 90.00 90.00
Element x y z (fractional)
Mg (0.000, 0.500, 0.000)
Mg (0.500, 0.000, 0.000)
Re (0.000, 0.000, 0.500)
Si (0.500, 0.500, 0.500)

No. 5
Material: Pm3P2Pt4
Method: DFT, PBE
State: relaxed

Output
M_tot, μB/f.u.: 0.0
Formation energy from the elements, eV/atom: -1.243
Mass density, Mg/m³: 11.338
Final energy, eV per cell: -60.42

Lattice parameters (Å, degrees): 5.825 5.825 8.479 104.79 104.79 42.54
Element x y z (fractional)
Pm (0.000, 0.000, 0.000)
Pm (0.336, 0.336, 0.339)
Pm (0.664, 0.664, 0.661)
P (0.391, 0.391, 0.715)
P (0.609, 0.609, 0.285)
Pt (0.056, 0.056, 0.375)
Pt (0.284, 0.284, 0.924)
Pt (0.716, 0.716, 0.076)
Pt (0.944, 0.944, 0.625)

No. 6
Material: LiMgTiNi
Method: DFT, PBE
State: relaxed

Output
M_tot, μB/f.u.: 0.8
Formation energy from the elements, eV/atom: -0.050
Mass density, Mg/m³: 3.904
Final energy, eV per cell: -17.38

Lattice parameters (Å, degrees): 4.360 4.360 4.360 60.00 60.00 60.00
Element x y z (fractional)
Li (0.000, 0.000, 0.000)
Mg (0.250, 0.250, 0.250)
Ti (0.750, 0.750, 0.750)
Ni (0.500, 0.500, 0.500)